# 1
DFT (GGA-PBE) results for SrLi2Ca after structural relaxation.

a = 8.9007 Å, b = 8.9007 Å, c = 7.2701 Å
α = 90.00°, β = 90.00°, γ = 90.00°
With the nearest neighbours (Å) after each atom.
Space group I-42d (No. 122)
One atom of each set of equivalent atoms:
Sr (0.0000, 0.0000, 0.0000) [4 per cell]  4 Li 3.35, 2 Ca 3.64
Li (0.2384, 0.2500, 0.6250) [8 per cell]  2 Ca 3.21, 2 Sr 3.35
Ca (0.0000, 0.0000, 0.5000) [4 per cell]  4 Li 3.21

Crystal system ... tetragonal
Polymorph energy (0 for the lowest one) ... 0.74 eV per formula unit
E_form ... 0.8 eV per formula unit

***

# 2
DFT (GGA-PBE) results for CsGe2N3 after structural relaxation.

a = 10.2744 Å, b = 6.1840 Å, c = 5.4840 Å
α = 90.00°, β = 90.00°, γ = 90.00°
With the nearest neighbours (Å) after each atom.
Space group Cmc2_1 (No. 36)
One atom of each set of equivalent atoms:
Cs (0.0000, 0.1530, 0.0000) [4 per cell]  10 N 2.93-3.25
Ge (0.1742, 0.3629, 0.4956) [8 per cell]  4 N 1.80-1.98
N (0.0000, 0.3350, 0.5065) [4 per cell]  2 Ge 1.80
N (0.2432, 0.3839, 0.1653) [8 per cell]  3 Ge 1.95-1.98

Crystal system ... orthorhombic
Energy relative to the elements, uncorrected ... 0.52 eV/f.u.

***

# 3
DFT (GGA-PBE) results for IrSe2Cl after structural relaxation.

a = 3.8532 Å, b = 3.8532 Å, c = 22.1054 Å
α = 90.00°, β = 90.00°, γ = 120.00°
With the nearest neighbours (Å) after each atom.
Space group R-3m (No. 166, hexagonal axes)
One atom of each set of equivalent atoms:
Ir (0.0000, 0.0000, 0.0000) [3 per cell]  6 Se 2.52
Se (0.0000, 0.0000, 0.3865) [6 per cell]  1 Cl 2.51, 3 Ir 2.52
Cl (0.0000, 0.0000, 0.5000) [3 per cell]  2 Se 2.51

Crystal system ... trigonal
Polymorph energy (0 for the lowest one) ... 0.00 eV per formula unit
Energy relative to the elements, uncorrected ... -1.03 eV/f.u.

***

# 4
DFT (GGA-PBE) results for La2ZrI after structural relaxation.

a = 7.9652 Å, b = 7.9652 Å, c = 7.9652 Å
α = 90.00°, β = 90.00°, γ = 90.00°
With the nearest neighbours (Å) after each atom.
Space group Fm-3m (No. 225)
One atom of each set of equivalent atoms:
La (0.2500, 0.2500, 0.2500) [8 per cell]  4 Zr 3.45, 4 I 3.45
Zr (0.0000, 0.0000, 0.0000) [4 per cell]  8 La 3.45
I (0.0000, 0.0000, 0.5000) [4 per cell]  8 La 3.45

Crystal system ... cubic
Polymorph energy (0 for the lowest one) ... 0.35 eV per formula unit
Energy relative to the elements, uncorrected ... 0.33 eV/f.u.

***

# 5
DFT (GGA-PBE) results for SmHo2Sc after structural relaxation.

a = 3.5184 Å, b = 3.5184 Å, c = 33.6365 Å
α = 90.00°, β = 90.00°, γ = 120.00°
With the nearest neighbours (Å) after each atom.
Space group R3m (No. 160, hexagonal axes)
One atom of each set of equivalent atoms:
Sm (0.0000, 0.0000, 0.0000) [3 per cell]  6 Sm 3.52, 6 Ho 3.55-3.57
Ho (0.0000, 0.0000, 0.2466) [3 per cell]  3 Sc 3.35, 6 Ho 3.52, 3 Sm 3.55
Ho (0.0000, 0.0000, 0.4208) [3 per cell]  3 Sc 3.37, 6 Ho 3.52, 3 Sm 3.57
Sc (0.0000, 0.0000, 0.8341) [3 per cell]  6 Ho 3.35-3.37, 6 Sc 3.52

Crystal system ... trigonal
Polymorph energy (0 for the lowest one) ... 0.04 eV per formula unit
E_form ... 0.2 eV per formula unit

***

# 6
DFT (GGA-PBE) results for InFe2Se after structural relaxation.

a = 7.8755 Å, b = 3.2279 Å, c = 6.4232 Å
α = 90.00°, β = 110.30°, γ = 90.00°
With the nearest neighbours (Å) after each atom.
Space group Cm (No. 8)
One atom of each set of equivalent atoms:
In (0.0000, 0.0000, 0.0000) [2 per cell]  5 Fe 2.71-2.94
Fe (0.0287, 0.5000, 0.3932) [2 per cell]  3 Fe 2.44-2.48, 3 Se 2.46-2.52
Fe (0.2826, 0.5000, 0.2478) [2 per cell]  3 Fe 2.44-2.48, 2 Se 2.53, 1 In 2.71
Se (0.2869, 0.0000, 0.5527) [2 per cell]  5 Fe 2.46-2.53

Crystal system ... monoclinic
Polymorph energy (0 for the lowest one) ... 0.37 eV per formula unit
Energy relative to the elements, uncorrected ... 0.66 eV/f.u.

***

# 7
DFT (GGA-PBE) results for MnRu2 after structural relaxation.

a = 4.1201 Å, b = 4.1201 Å, c = 2.6930 Å
α = 90.00°, β = 90.00°, γ = 90.00°
With the nearest neighbours (Å) after each atom.
Space group P4/mmm (No. 123)
One atom of each set of equivalent atoms:
Mn (0.0000, 0.0000, 0.0000) [1 per cell]  8 Ru 2.46, 2 Mn 2.69
Ru (0.0000, 0.5000, 0.5000) [2 per cell]  4 Mn 2.46, 2 Ru 2.69

Crystal system ... tetragonal
E_form ... 2.4 eV per formula unit

***

# 8
DFT (GGA-PBE) results for CdNiAs after structural relaxation.

a = 3.1455 Å, b = 3.1455 Å, c = 6.1484 Å
α = 90.00°, β = 90.00°, γ = 120.00°
With the nearest neighbours (Å) after each atom.
Space group P3m1 (No. 156)
One atom of each set of equivalent atoms:
Cd (0.0000, 0.0000, 0.0000) [1 per cell]  3 Ni 2.76
Ni (0.6667, 0.3333, 0.3381) [1 per cell]  3 As 2.35
As (0.3333, 0.6667, 0.5802) [1 per cell]  3 Ni 2.35

Crystal system ... trigonal
E_form ... -0.1 eV per formula unit

***

# 9
DFT (GGA-PBE) results for MgSbAs2 after structural relaxation.

a = 11.7059 Å, b = 3.8867 Å, c = 4.2694 Å
α = 90.00°, β = 108.77°, γ = 90.00°
With the nearest neighbours (Å) after each atom.
Space group Cm (No. 8)
One atom of each set of equivalent atoms:
Mg (0.0000, 0.0000, 0.0000) [2 per cell]  6 As 2.76-3.03
Sb (0.2763, 0.5000, 0.3021) [2 per cell]  4 As 2.81-2.94
As (0.1757, 0.0000, 0.6122) [2 per cell]  2 Mg 2.76-3.03, 2 Sb 2.81, 2 As 2.97
As (0.4752, 0.0000, 0.5019) [2 per cell]  4 Mg 2.83-2.98, 2 Sb 2.94, 2 As 2.97

Crystal system ... monoclinic
Polymorph energy (0 for the lowest one) ... 0.54 eV per formula unit
Energy relative to the elements, uncorrected ... -0.14 eV/f.u.